No. 1
Below is a relaxed structure of Sr2ZnGeH, with properties calculated at the PBE-GGA level.

Properties
The total moment is 0.00 μB per formula unit. As for the total energy: -2.84 eV/atom. The volume comes out at 22.6 Å³ per atom.

Cell and atoms, written as CIF:
```
data_Sr2ZnGeH
_symmetry_space_group_name_H-M 'P 4/m m m'
_symmetry_Int_Tables_number 123
_symmetry_space_group_name_Hall '-P 4 2'
_cell_length_a 5.1749
_cell_length_b 5.1749
_cell_length_c 4.2116
_cell_angle_alpha 90.00
_cell_angle_beta 90.00
_cell_angle_gamma 90.00
loop_
_atom_site_label
_atom_site_fract_x
_atom_site_fract_y
_atom_site_fract_z
_atom_site_occupancy
Sr1 0.0000 0.5000 0.0000 1
Zn1 0.0000 0.0000 0.5000 1
Ge1 0.5000 0.5000 0.5000 1
H1 0.0000 0.0000 0.0000 1
```



No. 2
Below is a relaxed structure of TaGeH2, with properties calculated at the PBE-GGA level.

Properties
For the energy above the most stable polymorph in this dataset, the calculation gives 34 meV/atom. The total moment is 0.00 μB per formula unit. As for the total energy: -5.83 eV/atom. The volume comes out at 10.6 Å³ per atom.

Cell and atoms, written as CIF:
```
data_TaGeH2
_symmetry_space_group_name_H-M 'C 1 m 1'
_symmetry_Int_Tables_number 8
_cell_length_a 5.4552
_cell_length_b 3.2353
_cell_length_c 5.1725
_cell_angle_alpha 90.00
_cell_angle_beta 111.18
_cell_angle_gamma 90.00
loop_
_symmetry_equiv_pos_as_xyz
'x,y,z'
'x,-y,z'
'x+1/2,y+1/2,z'
'x+1/2,-y+1/2,z'
loop_
_atom_site_label
_atom_site_fract_x
_atom_site_fract_y
_atom_site_fract_z
_atom_site_occupancy
Ta1 0.0000 0.0000 0.0000 1
Ge1 0.3056 0.5000 0.4258 1
H1 0.1081 0.5000 0.8281 1
H2 0.3010 0.0000 0.8940 1
```



No. 3
Below is a relaxed structure of Ta4GeH2, with properties calculated at the PBE-GGA level.

Properties
The total moment is 0.00 μB per formula unit. As for the total energy: -8.40 eV/atom. The volume comes out at 13.8 Å³ per atom.

Cell and atoms, written as CIF:
```
data_Ta4GeH2
_symmetry_space_group_name_H-M 'F d d 2'
_symmetry_Int_Tables_number 43
_symmetry_space_group_name_Hall 'F 2 -2d'
_cell_length_a 10.3655
_cell_length_b 12.6751
_cell_length_c 5.8869
_cell_angle_alpha 90.00
_cell_angle_beta 90.00
_cell_angle_gamma 90.00
loop_
_atom_site_label
_atom_site_fract_x
_atom_site_fract_y
_atom_site_fract_z
_atom_site_occupancy
Ta1 0.0825 0.3981 0.0000 1
Ta2 0.0911 0.3097 0.4647 1
Ge1 0.0000 0.0000 0.8745 1
H1 0.0893 0.1556 0.4477 1
```



No. 4
Below is a relaxed structure of Ta4Ge2H, with properties calculated at the PBE-GGA level.

Properties
The total moment is 0.00 μB per formula unit. As for the total energy: -8.71 eV/atom. The volume comes out at 15.4 Å³ per atom.

Cell and atoms, written as CIF:
```
data_Ta4Ge2H
_symmetry_space_group_name_H-M 'I 4/m m m'
_symmetry_Int_Tables_number 139
_symmetry_space_group_name_Hall '-I 4 2'
_cell_length_a 3.9446
_cell_length_b 3.9446
_cell_length_c 13.8763
_cell_angle_alpha 90.00
_cell_angle_beta 90.00
_cell_angle_gamma 90.00
loop_
_atom_site_label
_atom_site_fract_x
_atom_site_fract_y
_atom_site_fract_z
_atom_site_occupancy
Ta1 0.0000 0.0000 0.1671 1
Ta2 0.0000 0.5000 0.0000 1
Ge1 0.0000 0.0000 0.3566 1
H1 0.0000 0.0000 0.0000 1
```



No. 5
Below is a relaxed structure of Ta2GeH, with properties calculated at the PBE-GGA level.

Properties
For the energy above the most stable polymorph in this dataset, the calculation gives 89 meV/atom. The total moment is 0.00 μB per formula unit. As for the total energy: -7.93 eV/atom. The volume comes out at 13.6 Å³ per atom.

Cell and atoms, written as CIF:
```
data_Ta2GeH
_symmetry_space_group_name_H-M 'R -3 m'
_symmetry_Int_Tables_number 166
_symmetry_space_group_name_Hall '-R 3 2"'
_cell_length_a 2.9793
_cell_length_b 2.9793
_cell_length_c 21.2008
_cell_angle_alpha 90.00
_cell_angle_beta 90.00
_cell_angle_gamma 120.00
loop_
_atom_site_label
_atom_site_fract_x
_atom_site_fract_y
_atom_site_fract_z
_atom_site_occupancy
Ta1 0.0000 0.0000 0.2280 1
Ge1 0.0000 0.0000 0.0000 1
H1 0.0000 0.0000 0.5000 1
```



No. 6
Below is a relaxed structure of Ta2GeH2, with properties calculated at the PBE-GGA level.

Properties
For the energy above the most stable polymorph in this dataset, the calculation gives 356 meV/atom. The total moment is 0.00 μB per formula unit. As for the total energy: -6.74 eV/atom. The volume comes out at 14.0 Å³ per atom.

Cell and atoms, written as CIF:
```
data_Ta2GeH2
_symmetry_space_group_name_H-M 'A m m 2'
_symmetry_Int_Tables_number 38
_cell_length_a 3.9070
_cell_length_b 3.9656
_cell_length_c 9.0648
_cell_angle_alpha 90.00
_cell_angle_beta 90.00
_cell_angle_gamma 90.00
loop_
_symmetry_equiv_pos_as_xyz
'x,y,z'
'-x,-y,z'
'-x,y,z'
'x,-y,z'
'x,y+1/2,z+1/2'
'-x,-y+1/2,z+1/2'
'-x,y+1/2,z+1/2'
'x,-y+1/2,z+1/2'
loop_
_atom_site_label
_atom_site_fract_x
_atom_site_fract_y
_atom_site_fract_z
_atom_site_occupancy
Ta1 0.0000 0.0000 0.0000 1
Ta2 0.5000 0.0000 0.4838 1
Ge1 0.5000 0.0000 0.7740 1
H1 0.0000 0.0000 0.4479 1
H2 0.5000 0.0000 0.0643 1
```



No. 7
Below is a relaxed structure of TaGe3H, with properties calculated at the PBE-GGA level.

Properties
For the energy above the most stable polymorph in this dataset, the calculation gives 0 meV/atom. The total moment is 0.00 μB per formula unit. As for the total energy: -5.31 eV/atom. The volume comes out at 14.7 Å³ per atom.

Cell and atoms, written as CIF:
```
data_TaGe3H
_symmetry_space_group_name_H-M 'P m -3 m'
_symmetry_Int_Tables_number 221
_symmetry_space_group_name_Hall '-P 4 2 3'
_cell_length_a 4.1890
_cell_length_b 4.1890
_cell_length_c 4.1890
_cell_angle_alpha 90.00
_cell_angle_beta 90.00
_cell_angle_gamma 90.00
loop_
_atom_site_label
_atom_site_fract_x
_atom_site_fract_y
_atom_site_fract_z
_atom_site_occupancy
Ta1 0.0000 0.0000 0.0000 1
Ge1 0.0000 0.5000 0.5000 1
H1 0.5000 0.5000 0.5000 1
```



No. 8
Below is a relaxed structure of Ta2GeH, with properties calculated at the PBE-GGA level.

Properties
For the energy above the most stable polymorph in this dataset, the calculation gives 499 meV/atom. The total moment is 0.00 μB per formula unit. As for the total energy: -7.52 eV/atom. The volume comes out at 14.5 Å³ per atom.

Cell and atoms, written as CIF:
```
data_Ta2GeH
_symmetry_space_group_name_H-M 'F m -3 m'
_symmetry_Int_Tables_number 225
_symmetry_space_group_name_Hall '-F 4 2 3'
_cell_length_a 6.1436
_cell_length_b 6.1436
_cell_length_c 6.1436
_cell_angle_alpha 90.00
_cell_angle_beta 90.00
_cell_angle_gamma 90.00
loop_
_atom_site_label
_atom_site_fract_x
_atom_site_fract_y
_atom_site_fract_z
_atom_site_occupancy
Ta1 0.2500 0.2500 0.2500 1
Ge1 0.0000 0.0000 0.0000 1
H1 0.0000 0.0000 0.5000 1
```



No. 9
Below is a relaxed structure of Ta4GeH, with properties calculated at the PBE-GGA level.

Properties
The total moment is 0.00 μB per formula unit. As for the total energy: -8.79 eV/atom. The volume comes out at 17.1 Å³ per atom.

Cell and atoms, written as CIF:
```
data_Ta4GeH
_symmetry_space_group_name_H-M 'I 41 m d'
_symmetry_Int_Tables_number 109
_symmetry_space_group_name_Hall 'I 4bw -2'
_cell_length_a 7.7737
_cell_length_b 7.7737
_cell_length_c 6.7910
_cell_angle_alpha 90.00
_cell_angle_beta 90.00
_cell_angle_gamma 90.00
loop_
_atom_site_label
_atom_site_fract_x
_atom_site_fract_y
_atom_site_fract_z
_atom_site_occupancy
Ta1 0.0000 0.1846 0.0000 1
Ta2 0.0000 0.2375 0.4412 1
Ge1 0.0000 0.0000 0.6883 1
H1 0.0000 0.0000 0.2280 1
```



No. 10
Below is a relaxed structure of Ta2GeH, with properties calculated at the PBE-GGA level.

Properties
For the energy above the most stable polymorph in this dataset, the calculation gives 61 meV/atom. The total moment is 0.00 μB per formula unit. As for the total energy: -7.96 eV/atom. The volume comes out at 13.9 Å³ per atom.

Cell and atoms, written as CIF:
```
data_Ta2GeH
_symmetry_space_group_name_H-M 'I -4 2 d'
_symmetry_Int_Tables_number 122
_symmetry_space_group_name_Hall 'I -4 2bw'
_cell_length_a 6.1933
_cell_length_b 6.1933
_cell_length_c 5.7939
_cell_angle_alpha 90.00
_cell_angle_beta 90.00
_cell_angle_gamma 90.00
loop_
_atom_site_label
_atom_site_fract_x
_atom_site_fract_y
_atom_site_fract_z
_atom_site_occupancy
Ta1 0.1598 0.2500 0.1250 1
Ge1 0.0000 0.0000 0.5000 1
H1 0.0000 0.0000 0.0000 1
```



No. 11
Below is a relaxed structure of TaGeH3, with properties calculated at the PBE-GGA level.

Properties
For the energy above the most stable polymorph in this dataset, the calculation gives 629 meV/atom. The total moment is 0.00 μB per formula unit. As for the total energy: -4.31 eV/atom. The volume comes out at 8.9 Å³ per atom.

Cell and atoms, written as CIF:
```
data_TaGeH3
_symmetry_space_group_name_H-M 'P m -3 m'
_symmetry_Int_Tables_number 221
_symmetry_space_group_name_Hall '-P 4 2 3'
_cell_length_a 3.5380
_cell_length_b 3.5380
_cell_length_c 3.5380
_cell_angle_alpha 90.00
_cell_angle_beta 90.00
_cell_angle_gamma 90.00
loop_
_atom_site_label
_atom_site_fract_x
_atom_site_fract_y
_atom_site_fract_z
_atom_site_occupancy
Ta1 0.0000 0.0000 0.0000 1
Ge1 0.5000 0.5000 0.5000 1
H1 0.0000 0.5000 0.5000 1
```



No. 12
Below is a relaxed structure of TaGe3H, with properties calculated at the PBE-GGA level.

Properties
For the energy above the most stable polymorph in this dataset, the calculation gives 304 meV/atom. The total moment is 0.98 μB per formula unit. As for the total energy: -5.01 eV/atom. The volume comes out at 25.4 Å³ per atom.

Cell and atoms, written as CIF:
```
data_TaGe3H
_symmetry_space_group_name_H-M 'P m -3 m'
_symmetry_Int_Tables_number 221
_symmetry_space_group_name_Hall '-P 4 2 3'
_cell_length_a 5.0238
_cell_length_b 5.0238
_cell_length_c 5.0238
_cell_angle_alpha 90.00
_cell_angle_beta 90.00
_cell_angle_gamma 90.00
loop_
_atom_site_label
_atom_site_fract_x
_atom_site_fract_y
_atom_site_fract_z
_atom_site_occupancy
Ta1 0.0000 0.0000 0.0000 1
Ge1 0.0000 0.0000 0.5000 1
H1 0.5000 0.5000 0.5000 1
```